(1)
# Ta2CdPdBr

A relaxed structure of Ta2CdPdBr (GGA-PBE, Alexandria via LeMat-Bulk).

Calculated values
Its formation energy from raw total energies is 133.1 kJ/mol of atoms. As for the crystal system: tetragonal. Its size of the total moment is 0.4077 μB per atom.

a = 4.9489 Å, b = 4.9489 Å, c = 5.2103 Å
α = 90.00°, β = 90.00°, γ = 90.00°
Last column: nearest neighbours and their distance in Å.
Space group P4/mmm (No. 123)
Unique sites:
1 Ta 0.0000 0.5000 0.0000 x2  2 Pd 2.47
2 Cd 0.0000 0.0000 0.5000 x1  4 Br 3.50, 8 Ta 3.59
3 Pd 0.5000 0.5000 0.0000 x1  4 Ta 2.47, 2 Br 2.61
4 Br 0.5000 0.5000 0.5000 x1  2 Pd 2.61

=====

(2)
# CuAgO3

A relaxed structure of CuAgO3 (GGA-PBE, Alexandria via LeMat-Bulk).

Calculated values
Its formation energy from raw total energies is 19.0 kJ/mol of atoms. As for the crystal system: cubic. Its size of the total moment is 0.3792 μB per atom.

a = 3.7732 Å, b = 3.7732 Å, c = 3.7732 Å
α = 90.00°, β = 90.00°, γ = 90.00°
Last column: nearest neighbours and their distance in Å.
Space group Pm-3m (No. 221)
Unique sites:
1 Cu 0.0000 0.0000 0.0000 x1  6 O 1.89
2 Ag 0.5000 0.5000 0.5000 x1  12 O 2.67
3 O 0.0000 0.0000 0.5000 x3  2 Cu 1.89

=====

(3)
# Pm2Dy5Tm2

A relaxed structure of Pm2Dy5Tm2 (GGA-PBE, Alexandria via LeMat-Bulk).

Calculated values
As for the crystal system: orthorhombic. Its energy relative to the lowest polymorph listed for this composition is 112 meV/atom. Its size of the total moment is 0.0000 μB per atom.

a = 14.8655 Å, b = 11.7268 Å, c = 6.7128 Å
α = 90.00°, β = 90.00°, γ = 90.00°
Last column: nearest neighbours and their distance in Å.
Space group Ima2 (No. 46)
Unique sites:
1 Pm 0.1269 0.0018 0.0000 x8  4 Dy 3.31-3.56, 2 Tm 3.54-3.61, 1 Pm 3.66
2 Dy 0.0523 0.2468 0.6499 x8  4 Dy 3.15-3.36, 1 Tm 3.26, 1 Pm 3.31
3 Dy 0.1433 0.7357 0.8264 x8  4 Dy 3.15-3.37, 1 Pm 3.34, 1 Tm 3.41
4 Dy 0.2500 0.2481 0.8502 x4  6 Dy 3.23-3.56, 1 Tm 3.37, 2 Pm 3.56
5 Tm 0.0000 0.0000 0.4580 x4  4 Dy 3.26-3.60, 2 Pm 3.61
6 Tm 0.2500 0.5122 0.0497 x4  4 Dy 3.37-3.66, 2 Pm 3.54, 2 Tm 3.77

=====

(4)
# TcHg2As

A relaxed structure of TcHg2As (GGA-PBE, Alexandria via LeMat-Bulk).

Calculated values
As for the crystal system: orthorhombic. Its size of the total moment is 0.0000 μB per atom. The value obtained for the total energy is -29.17 eV for the cell shown.

a = 3.0034 Å, b = 4.8602 Å, c = 12.2182 Å
α = 90.00°, β = 90.00°, γ = 90.00°
Last column: nearest neighbours and their distance in Å.
Space group Imm2 (No. 44)
Unique sites:
1 Tc 0.0000 0.0000 0.0000 x2  2 As 2.42
2 Hg 0.0000 0.0000 0.4805 x2  4 Tc 2.87, 2 Hg 3.00
3 Hg 0.0000 0.5000 0.2951 x2  2 Tc 2.92, 2 Hg 3.00
4 As 0.0000 0.5000 0.6553 x2  2 Tc 2.42

=====

(5)
# CeYSi

A relaxed structure of CeYSi (GGA-PBE, Alexandria via LeMat-Bulk).

Calculated values
Its formation energy from raw total energies is -24.3 kJ/mol of atoms. As for the crystal system: orthorhombic. Its energy relative to the lowest polymorph listed for this composition is 319 meV/atom. Its size of the total moment is 0.1697 μB per atom.

a = 8.1553 Å, b = 12.7177 Å, c = 13.0687 Å
α = 90.00°, β = 90.00°, γ = 90.00°
Last column: nearest neighbours and their distance in Å.
Space group Fddd (No. 70, origin choice 2)
Unique sites:
1 Ce 0.1250 0.1250 0.0218 x16  1 Ce 2.70, 4 Si 2.86-2.92
2 Y 0.0000 0.0000 0.5000 x16  2 Si 2.91
3 Si 0.1250 0.3286 0.1250 x16  4 Ce 2.86-2.92, 2 Y 2.91

=====

(6)
# Cd2GaHgBr

A relaxed structure of Cd2GaHgBr (GGA-PBE, Alexandria via LeMat-Bulk).

Calculated values
Its formation energy from raw total energies is -7.8 kJ/mol of atoms. As for the crystal system: tetragonal. Its size of the total moment is 0.0000 μB per atom.

a = 5.2443 Å, b = 5.2443 Å, c = 5.3018 Å
α = 90.00°, β = 90.00°, γ = 90.00°
Last column: nearest neighbours and their distance in Å.
Space group P4/mmm (No. 123)
Unique sites:
1 Cd 0.0000 0.5000 0.0000 x2  2 Ga 2.62
2 Ga 0.0000 0.0000 0.0000 x1  4 Cd 2.62, 2 Hg 2.65
3 Hg 0.0000 0.0000 0.5000 x1  2 Ga 2.65
4 Br 0.5000 0.5000 0.5000 x1  4 Hg 3.71, 8 Cd 3.73